NaInI2: PBEsol geometry, SCAN.

The value obtained for the uncorrected energy is -28.565 eV/atom.

Cell lengths 8.9304, 8.9304, 8.9304 Å; angles 130.84, 130.84, 72.07 degrees
Atoms (fractional coordinates):
Na: 0.0000 0.0000 0.0000
Na: 0.7500 0.2500 0.5000
In: 0.2500 0.7500 0.5000
In: 0.5000 0.5000 0.0000
I: 0.0943 0.6250 0.9693
I: 0.3750 0.3443 0.4693
I: 0.6557 0.1250 0.0307
I: 0.8750 0.9057 0.5307

***

NbInTeI2: PBEsol geometry, SCAN.

The value obtained for the uncorrected energy is -35.543 eV/atom.

Cell lengths 5.6032, 5.6032, 5.3723 Å; angles 90.00, 90.00, 90.00 degrees
Atoms (fractional coordinates):
Nb: 0.0000 0.0000 0.0000
In: 0.5000 0.5000 0.5000
Te: 0.0000 0.0000 0.5000
I: 0.0000 0.5000 0.0000
I: 0.5000 0.0000 0.0000

***

InNi3I: PBEsol geometry, SCAN.

The value obtained for the uncorrected energy is -22.495 eV/atom.

Cell lengths 4.6494, 4.6494, 4.6494 Å; angles 90.00, 90.00, 90.00 degrees
Atoms (fractional coordinates):
In: 0.0000 0.0000 0.0000
Ni: 0.0000 0.0000 0.5000
Ni: 0.0000 0.5000 0.0000
Ni: 0.5000 0.0000 0.0000
I: 0.5000 0.5000 0.5000

***

In3NiI: PBEsol geometry, SCAN.

The value obtained for the uncorrected energy is -29.465 eV/atom.

Cell lengths 6.1214, 6.1214, 6.1214 Å; angles 90.00, 90.00, 90.00 degrees
Atoms (fractional coordinates):
In: 0.0000 0.0000 0.5000
In: 0.0000 0.5000 0.0000
In: 0.5000 0.0000 0.0000
Ni: 0.5000 0.5000 0.5000
I: 0.0000 0.0000 0.0000

***

In3NiI: PBEsol geometry, SCAN.

The value obtained for the uncorrected energy is -30.872 eV/atom.

Cell lengths 5.0252, 5.0252, 5.0252 Å; angles 90.00, 90.00, 90.00 degrees
Atoms (fractional coordinates):
In: 0.0000 0.0000 0.5000
In: 0.0000 0.5000 0.0000
In: 0.5000 0.0000 0.0000
Ni: 0.0000 0.0000 0.0000
I: 0.5000 0.5000 0.5000

***

InNiIO2: PBEsol geometry, SCAN.

The value obtained for the uncorrected energy is -19.867 eV/atom.

Cell lengths 3.9655, 3.9655, 6.3759 Å; angles 90.00, 90.00, 90.00 degrees
Atoms (fractional coordinates):
In: 0.0000 0.0000 0.0000
Ni: 0.5000 0.5000 0.5000
I: 0.0000 0.0000 0.5000
O: 0.0000 0.5000 0.0000
O: 0.5000 0.0000 0.0000

***

InI3O9: PBEsol geometry, SCAN.

The value obtained for the uncorrected energy is -16.002 eV/atom.

Cell lengths 7.3247, 7.3247, 7.3247 Å; angles 82.48, 82.48, 82.48 degrees
Atoms (fractional coordinates):
In: 0.1775 0.1775 0.1775
In: 0.8225 0.8225 0.8225
I: 0.1320 0.7103 0.4132
I: 0.2897 0.5868 0.8680
I: 0.4132 0.1320 0.7103
I: 0.5868 0.8680 0.2897
I: 0.7103 0.4132 0.1320
I: 0.8680 0.2897 0.5868
O: 0.0486 0.9347 0.2947
O: 0.0653 0.7053 0.9514
O: 0.0839 0.3094 0.4261
O: 0.2186 0.4222 0.7278
O: 0.2722 0.7814 0.5778
O: 0.2947 0.0486 0.9347
O: 0.3094 0.4261 0.0839
O: 0.4222 0.7278 0.2186
O: 0.4261 0.0839 0.3094
O: 0.5739 0.9161 0.6906
O: 0.5778 0.2722 0.7814
O: 0.6906 0.5739 0.9161
O: 0.7053 0.9514 0.0653
O: 0.7278 0.2186 0.4222
O: 0.7814 0.5778 0.2722
O: 0.9161 0.6906 0.5739
O: 0.9347 0.2947 0.0486
O: 0.9514 0.0653 0.7053

***

InI2O2: PBEsol geometry, SCAN.

The value obtained for the uncorrected energy is -23.886 eV/atom.

Cell lengths 5.5289, 5.5289, 5.5289 Å; angles 119.82, 119.82, 90.32 degrees
Atoms (fractional coordinates):
In: 0.0000 0.0000 0.0000
I: 0.2500 0.7500 0.5000
I: 0.7500 0.2500 0.5000
O: 0.4201 0.4201 0.0000
O: 0.5799 0.5799 0.0000

***

InOsIO2: PBEsol geometry, SCAN.

The value obtained for the uncorrected energy is -30.931 eV/atom.

Cell lengths 3.9972, 3.9972, 5.6623 Å; angles 90.00, 90.00, 90.00 degrees
Atoms (fractional coordinates):
In: 0.0000 0.0000 0.0000
Os: 0.5000 0.5000 0.5000
I: 0.5000 0.5000 0.0000
O: 0.0000 0.5000 0.5000
O: 0.5000 0.0000 0.5000

***

InPI2O: PBEsol geometry, SCAN.

The value obtained for the uncorrected energy is -24.448 eV/atom.

Cell lengths 5.8053, 5.8053, 3.8671 Å; angles 90.00, 90.00, 90.00 degrees
Atoms (fractional coordinates):
In: 0.0000 0.0000 0.0000
P: 0.5000 0.5000 0.5000
I: 0.0000 0.5000 0.0000
I: 0.5000 0.0000 0.0000
O: 0.0000 0.0000 0.5000

***

Rb3InI6O18: PBEsol geometry, SCAN.

The value obtained for the uncorrected energy is -16.176 eV/atom.

Cell lengths 6.9578, 6.9902, 10.5767 Å; angles 87.80, 72.76, 72.03 degrees
Atoms (fractional coordinates):
Rb: 0.0000 0.0000 0.0000
Rb: 0.1651 0.0222 0.6018
Rb: 0.8349 0.9778 0.3982
In: 0.5000 0.5000 0.0000
I: 0.0389 0.5227 0.8100
I: 0.4052 0.4586 0.3660
I: 0.4418 0.9705 0.1898
I: 0.5582 0.0295 0.8102
I: 0.5948 0.5414 0.6340
I: 0.9611 0.4773 0.1900
O: 0.0489 0.5540 0.3206
O: 0.0795 0.2036 0.1873
O: 0.1625 0.5428 0.0470
O: 0.2838 0.1545 0.8127
O: 0.3072 0.8447 0.3257
O: 0.3338 0.5598 0.6098
O: 0.4074 0.2006 0.3993
O: 0.4271 0.8239 0.0501
O: 0.4618 0.6036 0.8150
O: 0.5382 0.3964 0.1850
O: 0.5729 0.1761 0.9499
O: 0.5926 0.7994 0.6007
O: 0.6662 0.4402 0.3902
O: 0.6928 0.1553 0.6743
O: 0.7162 0.8455 0.1873
O: 0.8375 0.4572 0.9530
O: 0.9205 0.7964 0.8127
O: 0.9511 0.4460 0.6794

***

In2RhIO: PBEsol geometry, SCAN.

The value obtained for the uncorrected energy is -29.090 eV/atom.

Cell lengths 5.4901, 5.4901, 3.7554 Å; angles 90.00, 90.00, 90.00 degrees
Atoms (fractional coordinates):
In: 0.0000 0.5000 0.0000
In: 0.5000 0.0000 0.0000
Rh: 0.0000 0.0000 0.0000
I: 0.5000 0.5000 0.5000
O: 0.0000 0.0000 0.5000

***

ScInI2O: PBEsol geometry, SCAN.

The value obtained for the uncorrected energy is -25.943 eV/atom.

Cell lengths 5.9379, 5.9379, 3.9168 Å; angles 90.00, 90.00, 90.00 degrees
Atoms (fractional coordinates):
Sc: 0.0000 0.0000 0.0000
In: 0.5000 0.5000 0.5000
I: 0.0000 0.5000 0.5000
I: 0.5000 0.0000 0.5000
O: 0.5000 0.5000 0.0000

***

InSnI2O: PBEsol geometry, SCAN.

The value obtained for the uncorrected energy is -30.306 eV/atom.

Cell lengths 6.1264, 6.1264, 4.0443 Å; angles 90.00, 90.00, 90.00 degrees
Atoms (fractional coordinates):
In: 0.0000 0.0000 0.0000
Sn: 0.5000 0.5000 0.5000
I: 0.0000 0.5000 0.5000
I: 0.5000 0.0000 0.5000
O: 0.5000 0.5000 0.0000

***

InOsPd2I: PBEsol geometry, SCAN.

The value obtained for the uncorrected energy is -40.573 eV/atom.

Cell lengths 4.8108, 4.8108, 5.2319 Å; angles 90.00, 90.00, 90.00 degrees
Atoms (fractional coordinates):
In: 0.0000 0.0000 0.0000
Os: 0.0000 0.0000 0.5000
Pd: 0.0000 0.5000 0.5000
Pd: 0.5000 0.0000 0.5000
I: 0.5000 0.5000 0.0000

***

InOs2WI: PBEsol geometry, SCAN.

The value obtained for the uncorrected energy is -54.865 eV/atom.

Cell lengths 4.7452, 4.7452, 5.3003 Å; angles 90.00, 90.00, 90.00 degrees
Atoms (fractional coordinates):
In: 0.0000 0.0000 0.0000
Os: 0.0000 0.5000 0.5000
Os: 0.5000 0.0000 0.5000
W: 0.0000 0.0000 0.5000
I: 0.5000 0.5000 0.0000

***

InSb2PbI: PBEsol geometry, SCAN.

The value obtained for the uncorrected energy is -43.582 eV/atom.

Cell lengths 5.5387, 5.5387, 5.7317 Å; angles 90.00, 90.00, 90.00 degrees
Atoms (fractional coordinates):
In: 0.0000 0.0000 0.0000
Sb: 0.0000 0.5000 0.0000
Sb: 0.5000 0.0000 0.0000
Pb: 0.5000 0.5000 0.5000
I: 0.0000 0.0000 0.5000

***

In3PdI: PBEsol geometry, SCAN.

The value obtained for the uncorrected energy is -34.344 eV/atom.

Cell lengths 5.1965, 5.1965, 5.1965 Å; angles 90.00, 90.00, 90.00 degrees
Atoms (fractional coordinates):
In: 0.0000 0.0000 0.5000
In: 0.0000 0.5000 0.0000
In: 0.5000 0.0000 0.0000
Pd: 0.0000 0.0000 0.0000
I: 0.5000 0.5000 0.5000

***

InPtI3: PBEsol geometry, SCAN.

The value obtained for the uncorrected energy is -41.949 eV/atom.

Cell lengths 5.6803, 5.6803, 5.6803 Å; angles 90.00, 90.00, 90.00 degrees
Atoms (fractional coordinates):
In: 0.0000 0.0000 0.0000
Pt: 0.5000 0.5000 0.5000
I: 0.0000 0.0000 0.5000
I: 0.0000 0.5000 0.0000
I: 0.5000 0.0000 0.0000

***

InTePtI2: PBEsol geometry, SCAN.

The value obtained for the uncorrected energy is -42.883 eV/atom.

Cell lengths 5.4988, 5.4988, 5.2103 Å; angles 90.00, 90.00, 90.00 degrees
Atoms (fractional coordinates):
In: 0.0000 0.0000 0.0000
Te: 0.5000 0.5000 0.0000
Pt: 0.5000 0.5000 0.5000
I: 0.0000 0.5000 0.5000
I: 0.5000 0.0000 0.5000

***

In2ReI: PBEsol geometry, SCAN.

The value obtained for the uncorrected energy is -42.251 eV/atom.

Cell lengths 4.9631, 4.9631, 4.9631 Å; angles 60.00, 60.00, 60.00 degrees
Atoms (fractional coordinates):
In: 0.2500 0.2500 0.2500
In: 0.7500 0.7500 0.7500
Re: 0.0000 0.0000 0.0000
I: 0.5000 0.5000 0.5000

***

InRe3I: PBEsol geometry, SCAN.

The value obtained for the uncorrected energy is -53.328 eV/atom.

Cell lengths 4.8520, 4.8520, 4.8520 Å; angles 90.00, 90.00, 90.00 degrees
Atoms (fractional coordinates):
In: 0.0000 0.0000 0.0000
Re: 0.0000 0.0000 0.5000
Re: 0.0000 0.5000 0.0000
Re: 0.5000 0.0000 0.0000
I: 0.5000 0.5000 0.5000

***

In3RhI: PBEsol geometry, SCAN.

The value obtained for the uncorrected energy is -34.519 eV/atom.

Cell lengths 5.1637, 5.1637, 5.1637 Å; angles 90.00, 90.00, 90.00 degrees
Atoms (fractional coordinates):
In: 0.0000 0.0000 0.5000
In: 0.0000 0.5000 0.0000
In: 0.5000 0.0000 0.0000
Rh: 0.0000 0.0000 0.0000
I: 0.5000 0.5000 0.5000

***

InRh3I: PBEsol geometry, SCAN.

The value obtained for the uncorrected energy is -33.342 eV/atom.

Cell lengths 4.7581, 4.7581, 4.7581 Å; angles 90.00, 90.00, 90.00 degrees
Atoms (fractional coordinates):
In: 0.0000 0.0000 0.0000
Rh: 0.0000 0.5000 0.5000
Rh: 0.5000 0.0000 0.5000
Rh: 0.5000 0.5000 0.0000
I: 0.5000 0.5000 0.5000

***

InRuI3: PBEsol geometry, SCAN.

The value obtained for the uncorrected energy is -34.954 eV/atom.

Cell lengths 5.7716, 5.7716, 5.7716 Å; angles 90.00, 90.00, 90.00 degrees
Atoms (fractional coordinates):
In: 0.0000 0.0000 0.0000
Ru: 0.5000 0.5000 0.5000
I: 0.0000 0.0000 0.5000
I: 0.0000 0.5000 0.0000
I: 0.5000 0.0000 0.0000

***

InSb2RuI: PBEsol geometry, SCAN.

The value obtained for the uncorrected energy is -35.583 eV/atom.

Cell lengths 5.0153, 5.0153, 5.7549 Å; angles 90.00, 90.00, 90.00 degrees
Atoms (fractional coordinates):
In: 0.0000 0.0000 0.0000
Sb: 0.0000 0.5000 0.5000
Sb: 0.5000 0.0000 0.5000
Ru: 0.5000 0.5000 0.5000
I: 0.5000 0.5000 0.0000